The following is a GGA-PBE calculation of crystalline Ba2SmTlO5 at its relaxed geometry, from Alexandria via LeMat-Bulk.

abc: 3.6739 7.8008 11.6426
angles: 90.00 90.00 103.62
Last column: nearest neighbours and their distance in Å.
Positions (direct):
Ba1 0.8627 0.7255 0.7881  6 O 2.72-2.94
Ba2 0.1118 0.2235 0.6971  5 O 2.65-2.93
Ba3 0.1373 0.2745 0.2881  6 O 2.72-2.94
Ba4 0.8882 0.7765 0.1971  5 O 2.65-2.93
Sm1 0.7816 0.5632 0.5078  6 O 2.29-2.49
Sm2 0.2184 0.4368 0.0078  6 O 2.29-2.49
Tl1 0.5196 0.0392 0.9658  4 O 2.15-2.32
Tl2 0.4804 0.9608 0.4658  4 O 2.15-2.32
O1 0.3691 0.7381 0.0026  1 Sm 2.29, 1 Tl 2.32
O2 0.6912 0.3823 0.8810  2 Sm 2.39
O3 0.4951 0.9903 0.7838  1 Tl 2.15
O4 0.2813 0.5626 0.6403  2 Sm 2.40, 1 Ba 2.65
O5 0.9413 0.8825 0.5575  2 Tl 2.21
O6 0.6309 0.2619 0.5026  1 Sm 2.29, 1 Tl 2.32
O7 0.3088 0.6177 0.3810  2 Sm 2.39
O8 0.5049 0.0097 0.2838  1 Tl 2.15
O9 0.7187 0.4374 0.1403  2 Sm 2.40, 1 Ba 2.65
O10 0.0587 0.1175 0.0575  2 Tl 2.21

## Properties
For the energy relative to the elements, uncorrected, the calculation gives -2.27 eV per atom. The calculation puts the uncorrected energy at -6.242 eV per atom.

=====

The following is a GGA-PBE calculation of crystalline PrDyAs2O8 at its relaxed geometry, from Alexandria via LeMat-Bulk.

abc: 5.1235 5.1235 6.8354
angles: 112.01 112.01 90.00
Last column: nearest neighbours and their distance in Å.
Positions (direct):
Pr1 0.7500 0.2500 0.5000  8 O 2.45-2.51
Dy1 0.0000 0.0000 0.0000  8 O 2.38-2.45
As1 0.5000 0.5000 0.0000  4 O 1.73
As2 0.2500 0.7500 0.5000  4 O 1.73
O1 0.7251 0.8253 0.1516  1 As 1.73
O2 0.4264 0.3262 0.1516  1 As 1.73
O3 0.5804 0.6947 0.6605  1 As 1.73
O4 0.0801 0.9659 0.6605  1 As 1.73
O5 0.0341 0.4196 0.3395  1 As 1.73
O6 0.3053 0.9199 0.3395  1 As 1.73
O7 0.1747 0.5736 0.8484  1 As 1.73
O8 0.6738 0.2749 0.8484  1 As 1.73

## Properties
For the energy relative to the elements, uncorrected, the calculation gives -2.33 eV per atom. The calculation puts the uncorrected energy at -7.187 eV per atom.

=====

The following is a GGA-PBE calculation of crystalline ZnCd4Au4 at its relaxed geometry, from Alexandria via LeMat-Bulk.

abc: 5.4435 7.2146 5.4435
angles: 68.17 89.17 111.83
Last column: nearest neighbours and their distance in Å.
Positions (direct):
Zn1 0.0001 0.0002 0.9999  4 Au 2.59-2.61, 4 Cd 2.72-2.73
Cd1 0.0308 0.6418 0.3890  1 Zn 2.73, 3 Au 2.86-2.91
Cd2 0.6110 0.6418 0.9692  1 Zn 2.73, 3 Au 2.86-2.91
Cd3 0.3901 0.3592 0.6099  1 Zn 2.72, 3 Au 2.85-2.90
Cd4 0.9691 0.3592 0.0309  1 Zn 2.72, 3 Au 2.85-2.90
Au1 0.3938 0.1743 0.2195  1 Zn 2.61, 3 Cd 2.86-2.90
Au2 0.7805 0.1743 0.6062  1 Zn 2.61, 3 Cd 2.86-2.90
Au3 0.2207 0.8247 0.7793  1 Zn 2.59, 1 Cd 2.85
Au4 0.6040 0.8247 0.3960  1 Zn 2.59, 1 Cd 2.85

## Properties
The calculation puts the uncorrected energy at -2.110 eV per atom.

=====

The following is a GGA-PBE calculation of crystalline Tl8Hg3Au2 at its relaxed geometry, from Alexandria via LeMat-Bulk.

abc: 5.5902 9.4116 9.4116
angles: 54.84 75.58 75.58
Last column: nearest neighbours and their distance in Å.
Positions (direct):
Tl1 0.0732 0.5950 0.5950  1 Au 2.96, 2 Hg 3.19, 2 Tl 3.27
Tl2 0.9268 0.4050 0.4050  1 Au 2.96, 2 Hg 3.19, 2 Tl 3.27
Tl3 0.9357 0.1803 0.1803  2 Au 2.99-3.10
Tl4 0.0643 0.8197 0.8197  2 Au 2.99-3.10
Tl5 0.5178 0.5949 0.1306  2 Au 2.99-3.00, 2 Hg 3.22-3.25, 1 Tl 3.27
Tl6 0.5178 0.1306 0.5949  2 Au 2.99-3.00, 2 Hg 3.22-3.25, 1 Tl 3.27
Tl7 0.4822 0.8694 0.4051  2 Au 2.99-3.00, 2 Hg 3.22-3.25, 1 Tl 3.27
Tl8 0.4822 0.4051 0.8694  2 Au 2.99-3.00, 2 Hg 3.22-3.25, 1 Tl 3.27
Hg1 0.5000 0.0000 0.0000  4 Tl 3.25, 4 Hg 3.25
Hg2 0.0000 0.1915 0.8085  6 Tl 3.19-3.37, 3 Hg 3.25-3.32
Hg3 0.0000 0.8085 0.1915  6 Tl 3.19-3.37, 3 Hg 3.25-3.32
Au1 0.3624 0.2550 0.2550  7 Tl 2.96-3.10
Au2 0.6376 0.7450 0.7450  7 Tl 2.96-3.10

## Properties
The calculation puts the uncorrected energy at -2.024 eV per atom.

=====

The following is a GGA-PBE calculation of crystalline MgTiAl2 at its relaxed geometry, from Alexandria via LeMat-Bulk.

abc: 2.9657 2.9657 9.5693
angles: 81.09 81.09 60.00
Last column: nearest neighbours and their distance in Å.
Positions (direct):
Mg1 0.5000 0.5000 0.5000  6 Mg 2.97, 6 Al 3.00
Al1 0.7462 0.7462 0.7615  3 Ti 2.82, 6 Al 2.97, 3 Mg 3.00
Al2 0.2538 0.2538 0.2385  3 Ti 2.82, 6 Al 2.97, 3 Mg 3.00
Ti1 0.0000 0.0000 0.0000  6 Al 2.82, 6 Ti 2.97

## Properties
The calculation puts the uncorrected energy at -4.335 eV per atom.

=====

The following is a GGA-PBE calculation of crystalline Ti2VOs3 at its relaxed geometry, from Alexandria via LeMat-Bulk.

abc: 3.0616 3.0616 9.2451
angles: 90.00 90.00 90.00
Last column: nearest neighbours and their distance in Å.
Positions (direct):
Ti1 0.5000 0.5000 0.8322  8 Os 2.66-2.67
Ti2 0.5000 0.5000 0.1678  8 Os 2.66-2.67
V1 0.5000 0.5000 0.5000  8 Os 2.64
Os1 0.0000 0.0000 0.0000  8 Ti 2.66
Os2 0.0000 0.0000 0.6632  4 V 2.64, 4 Ti 2.67
Os3 0.0000 0.0000 0.3368  4 V 2.64, 4 Ti 2.67

## Properties
The calculation puts the uncorrected energy at -10.312 eV per atom.

=====

The following is a GGA-PBE calculation of crystalline CoAs2Pd at its relaxed geometry, from Alexandria via LeMat-Bulk.

abc: 5.7383 5.7383 6.2669
angles: 62.75 62.75 90.00
Last column: nearest neighbours and their distance in Å.
Positions (direct):
As1 0.5941 0.1250 0.2500  2 Co 2.25, 2 Pd 2.47
As2 0.1559 0.6250 0.2500  2 Co 2.25, 2 Pd 2.47
As3 0.3750 0.4059 0.7500  2 Co 2.25, 2 Pd 2.47
As4 0.8750 0.8441 0.7500  2 Co 2.25, 2 Pd 2.47
Co1 0.5000 0.5000 0.0000  4 As 2.25
Co2 0.2500 0.7500 0.5000  4 As 2.25
Pd1 0.0000 0.0000 0.0000  4 As 2.47
Pd2 0.7500 0.2500 0.5000  4 As 2.47

## Properties
The value obtained for the distance to the lowest polymorph of the same formula is 0 meV/atom. The calculation puts the uncorrected energy at -5.399 eV per atom.

=====

The following is a GGA-PBE calculation of crystalline ScInRh at its relaxed geometry, from Alexandria via LeMat-Bulk.

abc: 4.5080 4.5080 4.5080
angles: 60.00 60.00 60.00
Last column: nearest neighbours and their distance in Å.
Positions (direct):
In1 0.5000 0.5000 0.5000  4 Rh 2.76
Rh1 0.7500 0.7500 0.7500  4 In 2.76, 4 Sc 2.76
Sc1 0.0000 0.0000 0.0000  4 Rh 2.76

## Properties
The calculation puts the uncorrected energy at -6.048 eV per atom.

=====

- Among the records above, which one has the highest uncorrected energy?
  Tl8Hg3Au2

=====

- Look up the uncorrected energy of the fifth one.
  -4.335 eV per atom

=====

- What is the uncorrected energy in the fourth record?
  -2.024 eV per atom